1.
P5Ru: relaxed, PBE.

Results
total moment	0.0000	μB per atom
DFT formation energy	0.18	eV per atom
N(E_F)	5.12	states/eV/cell

a = 3.392 Å, b = 4.314 Å, c = 14.330 Å
α = 90.00°, β = 90.00°, γ = 90.00°
Space group Amm2 (No. 38)
Asymmetric unit:
P 0.000 0.000 0.000 (multiplicity 2)
P 0.000 0.000 0.267 (multiplicity 2)
P 0.500 0.000 0.168 (multiplicity 2)
P 0.500 0.000 0.465 (multiplicity 2)
P 0.500 0.000 0.892 (multiplicity 2)
Ru 0.000 0.000 0.568 (multiplicity 2)



2.
AcNdBi: relaxed, PBE.

Results
total moment	0.0000	μB per atom
DFT formation energy	-0.39	eV per atom
N(E_F)	12.74	states/eV/cell

a = 7.806 Å, b = 7.806 Å, c = 7.806 Å
α = 90.00°, β = 90.00°, γ = 90.00°
Space group F-43m (No. 216)
Asymmetric unit:
Ac 0.000 0.000 0.000 (multiplicity 4)
Nd 0.000 0.000 0.500 (multiplicity 4)
Bi 0.250 0.250 0.750 (multiplicity 4)



3.
ZrNb3N: relaxed, PBE.

Results
formation energy from raw total energies	-465	meV/atom
total moment	0.0000	μB per atom
N(E_F)	3.72	states/eV/cell

a = 4.368 Å, b = 4.368 Å, c = 4.368 Å
α = 90.00°, β = 90.00°, γ = 90.00°
Space group Pm-3m (No. 221)
Asymmetric unit:
Zr 0.000 0.000 0.000 (multiplicity 1)
Nb 0.000 0.500 0.500 (multiplicity 3)
N 0.500 0.500 0.500 (multiplicity 1)



4.
NaLi2Pr: relaxed, PBE.

Results
total moment	0.0000	μB per atom
DFT formation energy	0.19	eV per atom
N(E_F)	9.41	states/eV/cell

a = 3.3682 Å, b = 3.3682 Å, c = 36.3902 Å
α = 90.00°, β = 90.00°, γ = 120.00°
Space group R-3m (No. 166, hexagonal axes)
Asymmetric unit:
Na 0.0000 0.0000 0.0000 (multiplicity 3)
Li 0.0000 0.0000 0.4133 (multiplicity 6)
Pr 0.0000 0.0000 0.5000 (multiplicity 3)



5.
MgNi3B2: relaxed, PBE.

Results
total moment	0.0000	μB per atom
DFT formation energy	-0.38	eV per atom
N(E_F)	7.73	states/eV/cell

a = 4.8883 Å, b = 4.8883 Å, c = 8.7565 Å
α = 90.00°, β = 90.00°, γ = 120.00°
Space group P6_422 (No. 181)
Asymmetric unit:
Mg 0.0000 0.0000 0.0000 (multiplicity 3)
Ni 0.0000 0.5000 0.1248 (multiplicity 6)
Ni 0.0000 0.5000 0.8333 (multiplicity 3)
B 0.2232 0.6116 0.3333 (multiplicity 6)



6.
La2ReSe: relaxed, PBE.

Results
formation energy from raw total energies	-161	meV/atom
total moment	0.0000	μB per atom
N(E_F)	10.65	states/eV/cell

a = 7.836 Å, b = 7.836 Å, c = 7.014 Å
α = 90.00°, β = 90.00°, γ = 90.00°
Space group I-42d (No. 122)
Asymmetric unit:
La 0.217 0.250 0.125 (multiplicity 8)
Re 0.000 0.000 0.000 (multiplicity 4)
Se 0.000 0.000 0.500 (multiplicity 4)



7.
Nd2P4PdPt3: relaxed, PBE.

Results
total moment	0.0000	μB per atom
DFT formation energy	-1.00	eV per atom
N(E_F)	2.99	states/eV/cell

a = 4.324 Å, b = 4.324 Å, c = 9.528 Å
α = 90.00°, β = 90.00°, γ = 90.00°
Space group P-4m2 (No. 115)
Asymmetric unit:
Nd 0.000 0.500 0.247 (multiplicity 2)
P 0.000 0.000 0.000 (multiplicity 1)
P 0.000 0.500 0.633 (multiplicity 2)
P 0.500 0.500 0.000 (multiplicity 1)
Pd 0.000 0.000 0.500 (multiplicity 1)
Pt 0.000 0.500 0.885 (multiplicity 2)
Pt 0.500 0.500 0.500 (multiplicity 1)



8.
Ho4CdCo2: relaxed, PBE.

Results
total moment	0.0000	μB per atom
DFT formation energy	-0.14	eV per atom
N(E_F)	12.42	states/eV/cell

a = 6.877 Å, b = 7.088 Å, c = 7.185 Å
α = 100.26°, β = 101.63°, γ = 94.30°
Space group P1 (No. 1)
Asymmetric unit:
Ho 0.000 0.000 0.000 (multiplicity 1)
Ho 0.027 0.396 0.379 (multiplicity 1)
Ho 0.403 0.403 0.041 (multiplicity 1)
Ho 0.482 0.103 0.642 (multiplicity 1)
Ho 0.534 0.904 0.102 (multiplicity 1)
Ho 0.573 0.587 0.516 (multiplicity 1)
Ho 0.889 0.474 0.893 (multiplicity 1)
Ho 0.922 0.982 0.489 (multiplicity 1)
Cd 0.199 0.759 0.281 (multiplicity 1)
Cd 0.212 0.723 0.728 (multiplicity 1)
Co 0.296 0.153 0.298 (multiplicity 1)
Co 0.643 0.250 0.350 (multiplicity 1)
Co 0.718 0.225 0.035 (multiplicity 1)
Co 0.768 0.631 0.225 (multiplicity 1)